Entry 1:
The following is a DFT calculation (PBE-GGA) of an optimized crystal structure of LiPr6S8.

Results
crystal system	trigonal
mass density	5.1	g cm⁻³
DOS at the Fermi energy	4.910	states/eV per cell
E_form (uncorrected)	-1.91	eV/atom

abc: 7.584 7.584 7.584
angles: 67.82 67.82 67.82
Atoms (fractional coordinates):
Li: 0.000 0.000 0.000
Pr: 0.080 0.463 0.702
Pr: 0.298 0.920 0.537
Pr: 0.463 0.702 0.080
Pr: 0.537 0.298 0.920
Pr: 0.702 0.080 0.463
Pr: 0.920 0.537 0.298
S: 0.093 0.815 0.354
S: 0.185 0.646 0.907
S: 0.329 0.329 0.329
S: 0.354 0.093 0.815
S: 0.646 0.907 0.185
S: 0.671 0.671 0.671
S: 0.815 0.354 0.093
S: 0.907 0.185 0.646

Entry 2:
The following is a DFT calculation (PBE-GGA) of an optimized crystal structure of LiPrS.

Results
crystal system	trigonal
mass density	3.7	g cm⁻³
DOS at the Fermi energy	4.404	states/eV per cell
E_form (uncorrected)	-1.10	eV/atom

abc: 8.396 8.396 8.396
angles: 33.51 33.51 33.51
Atoms (fractional coordinates):
Li: 0.179 0.179 0.179
Li: 0.821 0.821 0.821
Pr: 0.401 0.401 0.401
Pr: 0.599 0.599 0.599
S: 0.279 0.279 0.279
S: 0.721 0.721 0.721

Entry 3:
The following is a DFT calculation (PBE-GGA) of an optimized crystal structure of LiPr4S5.

Results
crystal system	tetragonal
mass density	5.1	g cm⁻³
DOS at the Fermi energy	4.051	states/eV per cell
E_form (uncorrected)	-1.93	eV/atom

abc: 7.043 7.043 7.043
angles: 99.61 99.61 131.77
Atoms (fractional coordinates):
Li: 0.000 0.000 0.000
Pr: 0.174 0.574 0.802
Pr: 0.373 0.174 0.600
Pr: 0.574 0.772 0.400
Pr: 0.772 0.373 0.198
S: 0.069 0.263 0.385
S: 0.263 0.878 0.195
S: 0.465 0.465 0.000
S: 0.683 0.069 0.805
S: 0.878 0.683 0.615

Entry 4:
The following is a DFT calculation (PBE-GGA) of an optimized crystal structure of Li5PrS4.

Results
crystal system	orthorhombic
mass density	2.6	g cm⁻³
DOS at the Fermi energy	0.000	states/eV per cell
E_form (uncorrected)	-1.46	eV/atom

abc: 7.977 7.977 7.977
angles: 150.87 126.31 62.24
Atoms (fractional coordinates):
Li: 0.000 0.000 0.000
Li: 0.109 0.321 0.787
Li: 0.466 0.679 0.787
Li: 0.534 0.321 0.213
Li: 0.891 0.679 0.213
Pr: 0.500 0.000 0.500
S: 0.228 0.500 0.728
S: 0.287 0.787 0.500
S: 0.713 0.213 0.500
S: 0.772 0.500 0.272

Entry 5:
The following is a DFT calculation (PBE-GGA) of an optimized crystal structure of LiPr4S4.

Results
crystal system	tetragonal
mass density	5.7	g cm⁻³
DOS at the Fermi energy	13.226	states/eV per cell
E_form (uncorrected)	-1.66	eV/atom

abc: 8.379 8.379 5.831
angles: 90.00 90.00 90.00
Atoms (fractional coordinates):
Li: 0.250 0.750 0.250
Li: 0.750 0.250 0.750
Pr: 0.030 0.250 0.032
Pr: 0.250 0.030 0.532
Pr: 0.250 0.470 0.532
Pr: 0.470 0.250 0.032
Pr: 0.530 0.750 0.968
Pr: 0.750 0.530 0.468
Pr: 0.750 0.970 0.468
Pr: 0.970 0.750 0.968
S: 0.019 0.750 0.476
S: 0.250 0.519 0.024
S: 0.250 0.981 0.024
S: 0.481 0.750 0.476
S: 0.519 0.250 0.524
S: 0.750 0.019 0.976
S: 0.750 0.481 0.976
S: 0.981 0.250 0.524

Entry 6:
The following is a DFT calculation (PBE-GGA) of an optimized crystal structure of LiPr2SbS5.

Results
crystal system	orthorhombic
mass density	4.6	g cm⁻³
DOS at the Fermi energy	1.332	states/eV per cell
E_form (uncorrected)	-1.32	eV/atom

abc: 8.457 8.457 12.399
angles: 90.00 90.00 152.15
Atoms (fractional coordinates):
Li: 0.214 0.786 0.500
Li: 0.786 0.214 0.000
Pr: 0.112 0.888 0.161
Pr: 0.149 0.851 0.768
Pr: 0.851 0.149 0.268
Pr: 0.888 0.112 0.661
Sb: 0.464 0.536 0.929
Sb: 0.536 0.464 0.429
S: 0.056 0.944 0.558
S: 0.282 0.718 0.132
S: 0.323 0.677 0.816
S: 0.368 0.632 0.468
S: 0.485 0.515 0.231
S: 0.515 0.485 0.731
S: 0.632 0.368 0.968
S: 0.677 0.323 0.316
S: 0.718 0.282 0.632
S: 0.944 0.056 0.058

Entry 7:
The following is a DFT calculation (PBE-GGA) of an optimized crystal structure of Li3Pr3SbS8.

Results
crystal system	trigonal
mass density	3.9	g cm⁻³
DOS at the Fermi energy	1.927	states/eV per cell
E_form (uncorrected)	-1.43	eV/atom

abc: 7.749 7.749 7.749
angles: 63.28 63.28 63.28
Atoms (fractional coordinates):
Li: 0.000 0.500 0.500
Li: 0.500 0.000 0.500
Li: 0.500 0.500 0.000
Pr: 0.000 0.000 0.500
Pr: 0.000 0.500 0.000
Pr: 0.500 0.000 0.000
Sb: 0.500 0.500 0.500
S: 0.252 0.252 0.252
S: 0.264 0.264 0.725
S: 0.264 0.725 0.264
S: 0.275 0.736 0.736
S: 0.725 0.264 0.264
S: 0.736 0.275 0.736
S: 0.736 0.736 0.275
S: 0.748 0.748 0.748

Entry 8:
The following is a DFT calculation (PBE-GGA) of an optimized crystal structure of LiPr2SbS6.

Results
crystal system	monoclinic
mass density	4.5	g cm⁻³
E_form (uncorrected)	-1.25	eV/atom

abc: 6.580 7.228 11.347
angles: 90.00 124.01 90.00
Atoms (fractional coordinates):
Li: 0.000 0.000 0.000
Li: 0.000 0.500 0.500
Pr: 0.211 0.101 0.748
Pr: 0.211 0.399 0.248
Pr: 0.789 0.601 0.752
Pr: 0.789 0.899 0.252
Sb: 0.500 0.000 0.500
Sb: 0.500 0.500 0.000
S: 0.127 0.179 0.444
S: 0.127 0.321 0.944
S: 0.268 0.692 0.444
S: 0.268 0.808 0.944
S: 0.375 0.032 0.249
S: 0.375 0.468 0.749
S: 0.625 0.532 0.251
S: 0.625 0.968 0.751
S: 0.732 0.192 0.056
S: 0.732 0.308 0.556
S: 0.873 0.679 0.056
S: 0.873 0.821 0.556

Entry 9:
The following is a DFT calculation (PBE-GGA) of an optimized crystal structure of Li2PrScS4.

Results
crystal system	monoclinic
mass density	3.3	g cm⁻³
DOS at the Fermi energy	0.000	states/eV per cell
E_form (uncorrected)	-1.73	eV/atom

abc: 6.563 3.901 6.768
angles: 90.00 110.17 90.00
Atoms (fractional coordinates):
Li: 0.000 0.000 0.000
Li: 0.000 0.500 0.500
Pr: 0.500 0.000 0.500
Sc: 0.500 0.500 0.000
S: 0.246 0.500 0.226
S: 0.256 0.000 0.771
S: 0.744 0.000 0.229
S: 0.754 0.500 0.774

Entry 10:
The following is a DFT calculation (PBE-GGA) of an optimized crystal structure of Li2PrSc3S6.

Results
crystal system	monoclinic
mass density	3.5	g cm⁻³
DOS at the Fermi energy	3.174	states/eV per cell
E_form (uncorrected)	-1.82	eV/atom

abc: 6.493 6.493 6.689
angles: 99.34 99.34 120.02
Atoms (fractional coordinates):
Li: 0.168 0.832 0.000
Li: 0.832 0.168 0.000
Pr: 0.500 0.500 0.000
Sc: 0.000 0.000 0.500
Sc: 0.334 0.666 0.500
Sc: 0.666 0.334 0.500
S: 0.066 0.412 0.735
S: 0.243 0.243 0.266
S: 0.412 0.066 0.735
S: 0.588 0.934 0.265
S: 0.757 0.757 0.734
S: 0.934 0.588 0.265

Entry 11:
The following is a DFT calculation (PBE-GGA) of an optimized crystal structure of Li2Pr3Se2S4.

Results
crystal system	tetragonal
mass density	4.9	g cm⁻³
DOS at the Fermi energy	3.160	states/eV per cell
E_form (uncorrected)	-1.58	eV/atom

abc: 12.118 12.118 12.118
angles: 158.22 158.22 30.99
Atoms (fractional coordinates):
Li: 0.100 0.100 0.000
Li: 0.900 0.900 0.000
Pr: 0.333 0.333 0.000
Pr: 0.500 0.500 0.000
Pr: 0.667 0.667 0.000
Se: 0.206 0.206 0.000
Se: 0.794 0.794 0.000
S: 0.079 0.579 0.500
S: 0.421 0.921 0.500
S: 0.579 0.079 0.500
S: 0.921 0.421 0.500

Q: E_form (uncorrected) of number 6 (LiPr2SbS5)?
A: -1.32 eV/atom